Entry from Alexandria via LeMat-Bulk: BeCdH2Pd at its PBEsol-relaxed geometry (SCAN).

Structure (CIF):
```
data_BeCdH2Pd
_chemical_formula_sum 'Be1 Cd1 H2 Pd1'
_symmetry_space_group_name_H-M 'P 4/m m m'
_symmetry_Int_Tables_number 123
_symmetry_space_group_name_Hall '-P 4 2'
_cell_length_a 3.3744
_cell_length_b 3.3744
_cell_length_c 5.5189
_cell_angle_alpha 90.00
_cell_angle_beta 90.00
_cell_angle_gamma 90.00
loop_
_atom_site_label
_atom_site_type_symbol
_atom_site_fract_x
_atom_site_fract_y
_atom_site_fract_z
Be1 Be 0.0000 0.0000 0.0000
Cd1 Cd 0.5000 0.5000 0.0000
H1 H 0.0000 0.5000 0.5000
Pd1 Pd 0.5000 0.5000 0.5000
```

Output
DOS at the Fermi energy: 0.8 states/eV/f.u.
Magnetization: 0.00 μB/cell
Total energy: -72.537 eV for the cell shown